1.
Entry from Alexandria: a geometry-optimized ScIn2Fe structure (GGA-PBE).

Properties
spin magnetization: 2.993 μB per formula unit
calculated formation energy: -40 meV/atom
N(E_F): 3.99 states/eV per cell

Geometry as POSCAR:
```
ScIn2Fe
1.0
3.1389 0.0000 0.0000
0.0000 3.1389 0.0000
0.0000 0.0000 7.8835
Sc In Fe
1 2 1
Direct
0.0000 0.0000 0.0000
0.5000 0.5000 0.2797
0.5000 0.5000 0.7203
0.0000 0.0000 0.5000
```

***

2.
Entry from Alexandria: a geometry-optimized Ca2CuSO2 structure (GGA-PBE).

Properties
spin magnetization: 0.710 μB per formula unit
N(E_F): 4.85 states/eV per cell
formation energy without anion corrections: -9.15 eV per formula unit

Geometry as POSCAR:
```
Ca2CuSO2
1.0
3.8556 0.0000 0.0000
0.0000 3.8556 0.0000
0.0000 0.0000 16.0059
Ca Cu S O
4 2 2 4
Direct
0.0000 0.0000 0.1822
0.0000 0.0000 0.8178
0.5000 0.5000 0.3178
0.5000 0.5000 0.6822
0.0000 0.0000 0.5000
0.5000 0.5000 0.0000
0.0000 0.0000 0.0000
0.5000 0.5000 0.5000
0.0000 0.5000 0.2500
0.0000 0.5000 0.7500
0.5000 0.0000 0.2500
0.5000 0.0000 0.7500
```

***

3.
Entry from Alexandria: a geometry-optimized ZrCr2Tc structure (GGA-PBE).

Properties
spin magnetization: 0.000 μB per formula unit
calculated formation energy: 272 meV/atom
N(E_F): 7.29 states/eV per cell

Geometry as POSCAR:
```
ZrCr2Tc
1.0
3.0883 0.0000 0.0000
0.0000 4.5214 0.0000
0.0000 0.0000 8.5520
Zr Cr Tc
2 4 2
Direct
0.0000 0.0000 0.0000
0.5000 0.5000 0.0000
0.0000 0.5000 0.2708
0.0000 0.5000 0.7292
0.5000 0.0000 0.2708
0.5000 0.0000 0.7292
0.0000 0.0000 0.5000
0.5000 0.5000 0.5000
```